No. 1
This record from the Alexandria database describes an optimized crystal structure of BeCoOs2. The functional is GGA-PBE.

* density: 11.477 g/cm³
* DOS(E_F): 3.73 states/eV/f.u.
* E_form: 35.1 kcal/mol of atoms
* total magnetic moment: 0.00 μB per cell

Unit cell a=5.9598 b=5.9598 c=5.9598 alpha=127.33 beta=127.33 gamma=77.71
Closest atoms and distances in Å follow each position.
Sites, in units of the cell vectors:
1 Be 0.0000 0.0000 0.0000  4 Os 2.17
2 Be 0.7500 0.2500 0.5000  4 Os 2.17
3 Co 0.2500 0.7500 0.5000  4 Os 2.24
4 Co 0.5000 0.5000 0.0000  4 Os 2.24
5 Os 0.1141 0.6250 0.9891  2 Be 2.17, 2 Co 2.24
6 Os 0.3750 0.3641 0.4891  2 Be 2.17, 2 Co 2.24
7 Os 0.6359 0.1250 0.0109  2 Be 2.17, 2 Co 2.24
8 Os 0.8750 0.8859 0.5109  2 Be 2.17, 2 Co 2.24

No. 2
This record from the Alexandria database describes an optimized crystal structure of Be2CoOs. The functional is GGA-PBE.

* density: 10.886 g/cm³
* DOS(E_F): 3.60 states/eV/f.u.
* E_form: -2.5 kcal/mol of atoms
* polymorph energy (0 for the lowest one): 44.2 meV per atom
* total magnetic moment: 0.46 μB per cell

Unit cell a=4.5629 b=4.5629 c=4.5629 alpha=144.33 beta=131.97 gamma=61.24
Closest atoms and distances in Å follow each position.
Sites, in units of the cell vectors:
1 Be 0.0000 0.0000 0.0000  2 Be 2.30, 4 Os 2.32, 2 Co 2.38
2 Be 0.7676 0.2676 0.5000  2 Be 2.30, 4 Co 2.33, 2 Os 2.48
3 Co 0.2452 0.7452 0.5000  6 Be 2.33-2.38, 2 Os 2.48
4 Os 0.5064 0.5064 0.0000  6 Be 2.32-2.48, 2 Co 2.48